## Li6GaAu2 (PBE)

Data for crystalline Li6GaAu2 at its relaxed geometry.

Cell lengths 7.520, 7.520, 2.799 Å; angles 92.26, 92.26, 60.47 degrees
Element x y z (fractional)
Li: 0.167 0.500 0.975
Li: 0.168 0.832 0.000
Li: 0.500 0.167 0.975
Li: 0.500 0.833 0.025
Li: 0.832 0.168 0.000
Li: 0.833 0.500 0.025
Ga: 0.500 0.500 0.500
Au: 0.166 0.166 0.503
Au: 0.834 0.834 0.497

## Properties
ΔE to the lowest computed polymorph: 0 meV/atom
E: -2.715 eV/atom
ΔH_f (0 K): -0.375 eV per atom
Magnetic moment: 0.000 μB per atom
Space group: C2/m (12)